Record 1
Compound: NbCuIrPd
Source: Alexandria
Functional: PBE-GGA
Structure: relaxed

Output
VASP energy: -7.284 eV per atom

Lattice parameters (Å, degrees): 4.414 4.414 4.414 60.00 60.00 60.00
Atoms (fractional coordinates):
Nb: 0.000 0.000 0.000
Cu: 0.500 0.500 0.500
Ir: 0.750 0.750 0.750
Pd: 0.250 0.250 0.250

---

Record 2
Compound: YTl2CdRe
Source: Alexandria
Functional: PBE-GGA
Structure: relaxed

Output
VASP energy: -4.252 eV per atom

Lattice parameters (Å, degrees): 5.245 5.245 5.214 90.00 90.00 90.00
Atoms (fractional coordinates):
Y: 0.000 0.000 0.000
Tl: 0.000 0.500 0.500
Tl: 0.500 0.000 0.500
Cd: 0.500 0.500 0.000
Re: 0.500 0.500 0.500